10
Lattice="-3.1313 -3.1107 3.8378 2.9597 -2.8420 -4.3210 5.1390 2.6068 1.9591" Properties=species:S:1:pos:R:3 comment="AgBi2WO6 (PBE+U, relaxed)" e_tot_ry_per_atom=-0.445 pbc="T T T"
O 1.4587 -0.7396 -0.7895
O 3.7443 1.1334 0.9224
O 0.3989 -4.3097 0.3110
O -0.3378 -1.1886 1.5468
O 2.9836 -2.5104 1.6145
O 4.5826 -2.4581 -0.5168
W 4.8025 -3.3635 1.3682
Ag 4.4524 -0.2050 -0.8217
Bi 2.2933 -3.1735 -0.5562
Bi 3.5351 -0.3762 2.6976